This record from the Alexandria database describes a relaxed Zn3Pt3Pb crystal. The functional is GGA-PBE.

abc: 6.8722 6.8722 6.8722
angles: 90.00 90.00 90.00
Last column: nearest neighbours and their distance in Å.
Space group Pm-3n (No. 223)
Asymmetric unit:
Zn 0.0000 0.2500 0.5000 (multiplicity 6)  4 Pt 2.43
Pt 0.0000 0.5000 0.2500 (multiplicity 6)  4 Zn 2.43
Pb 0.0000 0.0000 0.0000 (multiplicity 2)  12 Pt 3.84, 12 Zn 3.84

Results
For the total moment, the calculation gives 0.0000 μB per atom. The calculated volume comes out at 324.6 Å³ per cell. The calculation puts the formation energy at 172.4 meV/atom. The calculated density comes out at 10.12 g/cm3.